No. 1
Nd3AlPd4, relaxed, DFT PBE; crystal system = orthorhombic; ΔE_f = -0.696 eV/atom; volume = 24.3 Å³ per atom
1.0
4.168 0.000 0.000
0.000 6.405 0.000
-2.084 -3.203 7.288
Nd Al Pd
3 1 4
Cartesian
0.000 0.000 2.788
2.084 3.203 4.500
0.000 3.203 0.000
2.084 0.000 0.000
0.000 1.373 5.575
2.084 1.830 1.714
2.084 4.575 1.714
0.000 -1.373 5.575

---

No. 2
BTeRhI2, relaxed, DFT PBE; crystal system = tetragonal; uncorrected formation energy = 1.20 eV/atom; volume = 23.9 Å³ per atom
1.0
4.923 0.000 0.000
0.000 4.923 0.000
0.000 0.000 4.929
I B Te Rh
2 1 1 1
Cartesian
0.000 2.461 0.000
2.461 0.000 0.000
0.000 0.000 0.000
0.000 0.000 2.464
2.461 2.461 2.464

---

No. 3
CdAg2Sn, relaxed, DFT PBE; crystal system = tetragonal; ΔE_f = 0.025 eV/atom; volume = 20.8 Å³ per atom
1.0
3.624 0.000 0.000
0.000 3.624 0.000
0.000 0.000 6.320
Sn Ag Cd
1 2 1
Cartesian
1.812 1.812 3.160
0.000 0.000 4.800
0.000 0.000 1.519
1.812 1.812 0.000

---

No. 4
KReGeN2, relaxed, DFT PBE; crystal system = tetragonal; uncorrected formation energy = 3.59 eV/atom; volume = 17.9 Å³ per atom
1.0
4.042 0.000 0.000
0.000 5.470 0.000
0.000 0.000 4.042
Re Ge K N
1 1 1 2
Cartesian
0.000 2.735 0.000
2.021 2.735 2.021
0.000 0.000 0.000
0.000 0.000 2.021
2.021 0.000 0.000